Record 1
{
  "formula": "CoPb5",
  "functional": "PBE-GGA",
  "state": "optimized geometry",
  "space_group": "P-62m (189)",
  "e_form_ev_per_fu": 2.3,
  "cell": [[2.9730, -5.1494, 0.0000], [2.9730, 5.1494, 0.0000], [0.0000, 0.0000, 5.3950]],
  "species": ["Pb", "Pb", "Pb", "Pb", "Pb", "Co"],
  "frac_coords": [[0.3130, 0.3130, 0.0000], [0.6870, 0.0000, 0.0000], [0.6667, 0.3333, 0.5000], [0.0000, 0.6870, 0.0000], [0.3333, 0.6667, 0.5000], [0.0000, 0.0000, 0.5000]]
}



Record 2
{
  "formula": "LaB2N2O",
  "functional": "PBE-GGA",
  "state": "optimized geometry",
  "space_group": "P2_1/m (11)",
  "raw_formation_energy_ev_per_fu": -8.11,
  "cell": [[4.7869, 0.0000, 0.0000], [0.0000, 7.9017, 0.6048], [0.0000, -2.4200, 4.5836]],
  "species": ["O", "O", "B", "B", "B", "B", "La", "La", "N", "N", "N", "N"],
  "frac_coords": [[0.7500, 0.6161, 0.0453], [0.2500, 0.3839, 0.9547], [0.9994, 0.0868, 0.1895], [0.5006, 0.0868, 0.1895], [0.4994, 0.9132, 0.8105], [0.0006, 0.9132, 0.8105], [0.7500, 0.3141, 0.8346], [0.2500, 0.6859, 0.1654], [0.2500, 0.8154, 0.7154], [0.2500, 0.0831, 0.3177], [0.7500, 0.9169, 0.6823], [0.7500, 0.1846, 0.2846]]
}



Record 3
{
  "formula": "LaFe2Br",
  "functional": "PBE-GGA",
  "state": "optimized geometry",
  "space_group": "Pmmm (47)",
  "e_above_lowest_polymorph_kj_per_mol_fu": 95,
  "raw_formation_energy_ev_per_fu": 0.54,
  "cell": [[4.4578, 0.0000, 0.0000], [0.0000, 3.8368, -0.0168], [0.0000, 0.0170, 5.1109]],
  "species": ["Fe", "Fe", "La", "Br"],
  "frac_coords": [[0.0000, 0.7501, 0.0350], [0.0000, 0.7499, 0.4650], [0.5000, 0.2500, 0.2500], [0.5000, 0.7500, 0.7500]]
}



Record 4
{
  "formula": "CaGa2TcNi",
  "functional": "PBE-GGA",
  "state": "optimized geometry",
  "space_group": "P4/mmm (123)",
  "e_form_ev_per_fu": 1.3,
  "cell": [[4.5073, 0.0000, 0.0000], [0.0000, 4.8556, 0.0000], [0.0000, 0.0000, 4.5073]],
  "species": ["Ga", "Ga", "Tc", "Ni", "Ca"],
  "frac_coords": [[0.0000, 0.0000, 0.5000], [0.5000, 0.0000, 0.0000], [0.0000, 0.5000, 0.0000], [0.0000, 0.0000, 0.0000], [0.5000, 0.5000, 0.5000]]
}



Record 5
{
  "formula": "La2TbPr4Er",
  "functional": "PBE-GGA",
  "state": "optimized geometry",
  "space_group": "P2/m (10)",
  "e_form_ev_per_fu": 0.2,
  "cell": [[-1.5089, 4.1968, 2.6893], [-4.0792, 0.5485, -3.1449], [-9.7692, -5.5292, 3.1471]],
  "species": ["Pr", "Pr", "Pr", "Pr", "La", "La", "Er", "Tb"],
  "frac_coords": [[0.5000, 0.2500, 0.7497], [0.0000, 0.7516, 0.7488], [0.0000, 0.2484, 0.2512], [0.5000, 0.7500, 0.2503], [0.5000, 0.0000, 0.5000], [0.0000, 0.0000, 0.0000], [0.0000, 0.5000, 0.5000], [0.5000, 0.5000, 0.0000]]
}



Record 6
{
  "formula": "ReNiMo2",
  "functional": "PBE-GGA",
  "state": "optimized geometry",
  "space_group": "R3m (160)",
  "e_above_lowest_polymorph_kj_per_mol_fu": 86,
  "e_form_ev_per_fu": 1.0,
  "cell": [[-6.0561, -3.6275, 6.0442], [-5.4855, -5.8923, 4.6431], [-3.8823, -5.1281, 6.7080]],
  "species": ["Mo", "Mo", "Ni", "Re"],
  "frac_coords": [[0.2445, 0.2445, 0.2445], [0.0019, 0.0019, 0.0019], [0.4987, 0.4987, 0.4987], [0.7548, 0.7548, 0.7548]]
}



Number 1: total moment 1.6 μB/f.u.. Number 2: total moment 0.0 μB/f.u.. Number 3: total moment 4.1 μB/f.u.. Number 4: total moment 1.8 μB/f.u.. Number 5: total moment 0.0 μB/f.u.. Number 6: total moment 0.0 μB/f.u..